No. 1
NaTaPdO4, relaxed, DFT GGA-PBE; uncorrected formation energy = -1.843 eV/atom; space group = Imma; final energy = -7.300 eV per atom
1.0
-3.873 2.968 -3.364
-2.425 -5.740 2.949
0.554 4.830 3.623
Na Ta Pd O
2 2 2 8
Direct
0.838 0.675 0.088 Na
0.162 0.325 0.912 Na
0.500 0.000 0.500 Ta
0.500 0.000 0.000 Ta
0.500 0.500 0.500 Pd
0.000 0.500 0.500 Pd
0.688 0.377 0.654 O
0.263 0.961 0.231 O
0.698 0.961 0.231 O
0.688 0.377 0.222 O
0.312 0.623 0.778 O
0.737 0.039 0.769 O
0.302 0.039 0.769 O
0.312 0.623 0.346 O

No. 2
Na2TaPdO4, relaxed, DFT GGA-PBE; uncorrected formation energy = -1.781 eV/atom; space group = I-4; final energy = -6.720 eV per atom
1.0
5.324 0.201 0.308
-2.087 4.902 -0.308
-2.087 -2.255 4.364
Na Ta Pd O
2 1 1 4
Direct
0.500 0.750 0.250 Na
0.000 0.000 0.000 Na
0.500 0.250 0.750 Ta
0.000 0.500 0.500 Pd
0.509 0.245 0.398 O
0.154 0.264 0.755 O
0.846 0.602 0.110 O
0.491 0.890 0.736 O

Question: Look up the uncorrected formation energy of the first one.
Answer: -1.843 eV/atom

Copy entry 2 word for word.
Na2TaPdO4, relaxed, DFT GGA-PBE; uncorrected formation energy = -1.781 eV/atom; space group = I-4; final energy = -6.720 eV per atom
1.0
5.324 0.201 0.308
-2.087 4.902 -0.308
-2.087 -2.255 4.364
Na Ta Pd O
2 1 1 4
Direct
0.500 0.750 0.250 Na
0.000 0.000 0.000 Na
0.500 0.250 0.750 Ta
0.000 0.500 0.500 Pd
0.509 0.245 0.398 O
0.154 0.264 0.755 O
0.846 0.602 0.110 O
0.491 0.890 0.736 O

Question: Which of these has the highest final energy?
Answer: Na2TaPdO4

Question: Among the records above, which one has the lowest uncorrected formation energy?
Answer: NaTaPdO4